1.
VASP calculation (PBE-GGA) on a relaxed PuBe2PbO8 crystal.

The density of states at the Fermi level comes out at 8.79 states/eV per cell. As for the raw formation energy: -1558 meV/atom. The value obtained for the spin magnetization is 2.7 μB/f.u.

It has space group P-3m1 (No. 164), with a = 5.2795 Å, b = 5.2795 Å, c = 7.0604 Å, α = 90.00°, β = 90.00° and γ = 120.00°. The asymmetric unit holds Pu at (0.0000, 0.0000, 0.0000), Be at (0.3333, 0.6667, 0.7487), Pb at (0.0000, 0.0000, 0.5000), O at (0.1666, 0.3332, 0.8226) and O at (0.3333, 0.6667, 0.5202).

2.
VASP calculation (PBE-GGA) on a relaxed Tb3TmPb2 crystal.

The calculation puts the formation energy at -0.366 eV/atom. The value obtained for the distance to the lowest polymorph of the same formula is 56 meV/atom. The density of states at the Fermi level comes out at 13.18 states/eV per cell. The value obtained for the spin magnetization is 0.0 μB/f.u.

It has space group Cmmm (No. 65), with a = 4.913 Å, b = 15.950 Å, c = 4.415 Å, α = 90.00°, β = 90.00° and γ = 90.00°. The asymmetric unit holds Tb at (0.000, 0.000, 0.000), Tb at (0.000, 0.325, 0.000), Tm at (0.000, 0.500, 0.500) and Pb at (0.000, 0.151, 0.500).

3.
VASP calculation (PBE-GGA) on a relaxed Tb5RuRh4 crystal.

The calculation puts the formation energy at -0.743 eV/atom. The density of states at the Fermi level comes out at 5.95 states/eV per cell. The value obtained for the spin magnetization is 0.0 μB/f.u.

It has space group P4/mmm (No. 123), with a = 3.448 Å, b = 3.448 Å, c = 17.049 Å, α = 90.00°, β = 90.00° and γ = 90.00°. The asymmetric unit holds Tb at (0.000, 0.000, 0.000), Tb at (0.000, 0.000, 0.201), Tb at (0.000, 0.000, 0.402), Ru at (0.500, 0.500, 0.500), Rh at (0.500, 0.500, 0.100) and Rh at (0.500, 0.500, 0.298).

4.
VASP calculation (PBE-GGA) on a relaxed Rb2BaNiH6 crystal.

The density of states at the Fermi level comes out at 3.57 states/eV per cell. The total energy comes out at -31.53 eV/cell. The value obtained for the spin magnetization is 0.0 μB/f.u.

It has space group P-3m1 (No. 164), with a = 6.0356 Å, b = 6.0356 Å, c = 6.6708 Å, α = 90.00°, β = 90.00° and γ = 120.00°. The asymmetric unit holds Rb at (0.3333, 0.6667, 0.1299), Ba at (0.0000, 0.0000, 0.5000), Ni at (0.0000, 0.0000, 0.0000) and H at (0.1203, 0.2406, 0.8606).

5.
VASP calculation (PBE-GGA) on a relaxed AlFeSb crystal.

The value obtained for the distance to the lowest polymorph of the same formula is 0 meV/atom. The density of states at the Fermi level comes out at 14.01 states/eV per cell. As for the raw formation energy: -35 meV/atom. The value obtained for the spin magnetization is 0.9 μB/f.u.

It has space group F-43m (No. 216), with a = 5.931 Å, b = 5.931 Å, c = 5.931 Å, α = 90.00°, β = 90.00° and γ = 90.00°. The asymmetric unit holds Al at (0.000, 0.000, 0.000), Fe at (0.250, 0.250, 0.250) and Sb at (0.000, 0.000, 0.500).

6.
VASP calculation (PBE-GGA) on a relaxed NbRe3Tc crystal.

The calculation puts the formation energy at 1.882 eV/atom. The value obtained for the distance to the lowest polymorph of the same formula is 0 meV/atom. The density of states at the Fermi level comes out at 6.03 states/eV per cell. The value obtained for the spin magnetization is 0.0 μB/f.u.

It has space group Pm-3m (No. 221), with a = 4.618 Å, b = 4.618 Å, c = 4.618 Å, α = 90.00°, β = 90.00° and γ = 90.00°. The asymmetric unit holds Nb at (0.000, 0.000, 0.000), Re at (0.000, 0.500, 0.500) and Tc at (0.500, 0.500, 0.500).

7.
VASP calculation (PBE-GGA) on a relaxed Cs2Rb3UO6 crystal.

The density of states at the Fermi level comes out at 24.47 states/eV per cell. As for the raw formation energy: -1978 meV/atom. The value obtained for the spin magnetization is 1.1 μB/f.u.

It has space group C2/m (No. 12), with a = 7.145 Å, b = 12.365 Å, c = 6.798 Å, α = 90.00°, β = 111.29° and γ = 90.00°. The asymmetric unit holds Cs at (0.000, 0.168, 0.000), Rb at (0.000, 0.000, 0.500), Rb at (0.000, 0.344, 0.500), U at (0.000, 0.500, 0.000), O at (0.173, 0.500, 0.811) and O at (0.183, 0.382, 0.199).

8.
VASP calculation (PBE-GGA) on a relaxed ZrNiCl2 crystal.

The value obtained for the distance to the lowest polymorph of the same formula is 726 meV/atom. The density of states at the Fermi level comes out at 1.76 states/eV per cell. As for the raw formation energy: -199 meV/atom. The value obtained for the spin magnetization is 0.0 μB/f.u.

It has space group P4/mmm (No. 123), with a = 4.224 Å, b = 4.224 Å, c = 3.629 Å, α = 90.00°, β = 90.00° and γ = 90.00°. The asymmetric unit holds Zr at (0.000, 0.000, 0.000), Ni at (0.500, 0.500, 0.000) and Cl at (0.000, 0.500, 0.500).

spin magnetization of number 2 (Tb3TmPb2)?
0.0 μB/f.u.

What is the spin magnetization in the seventh record?
1.1 μB/f.u.

Among the records above, which one has the highest spin magnetization?
PuBe2PbO8